1.
This record from Alexandria describes a relaxed KMnCo2Re crystal. The functional is PBE.

Output
Symmetry ... P4/mmm
Energy of formation from the pure elements ... 1.884 eV per atom

Unit cell a=4.5060 b=5.3906 c=4.5060 alpha=90.00 beta=90.00 gamma=90.00
Site moments in Bohr magnetons follow the coordinates.
Fractional coordinates of all 5 atoms:
Co 0.0000 0.0000 0.5000  0.46
Co 0.5000 0.0000 0.0000  0.33
K 0.0000 0.5000 0.0000  0.00
Mn 0.5000 0.5000 0.5000  4.28
Re 0.0000 0.0000 0.0000  0.05



2.
This record from Alexandria describes a relaxed TlSiSnB2 crystal. The functional is PBE.

Output
Symmetry ... P4/mmm
ΔE_f (raw) ... 1.244 eV per atom

Unit cell a=4.1483 b=5.6925 c=4.1483 alpha=90.00 beta=90.00 gamma=90.00
Fractional coordinates of all 5 atoms:
Si 0.0000 0.0000 0.0000
B 0.0000 0.0000 0.5000
B 0.5000 0.0000 0.0000
Tl 0.0000 0.5000 0.0000
Sn 0.5000 0.5000 0.5000



3.
This record from Alexandria describes a relaxed Tb4Tm2Ge3O2 crystal. The functional is PBE.

Output
Symmetry ... I4/mmm
ΔE_f (raw) ... -1.545 eV per atom

Unit cell a=4.5560 b=4.5560 c=12.1610 alpha=100.80 beta=100.80 gamma=90.00
Fractional coordinates of all 11 atoms:
Ge 0.1772 0.1772 0.3544
Ge 0.8228 0.8228 0.6456
Ge 0.0000 0.0000 0.0000
Tm 0.6985 0.6985 0.3970
Tm 0.3015 0.3015 0.6030
Tb 0.5811 0.0811 0.1622
Tb 0.0811 0.5811 0.1622
Tb 0.4189 0.9189 0.8378
Tb 0.9189 0.4189 0.8378
O 0.3967 0.3967 0.7934
O 0.6033 0.6033 0.2066



4.
This record from Alexandria describes a relaxed BaCd9Pd3 crystal. The functional is PBE.

Output
Symmetry ... C2/m
Energy of formation from the pure elements ... -0.301 eV per atom

Unit cell a=5.6982 b=7.4226 c=7.7772 alpha=82.46 beta=68.51 gamma=69.02
Fractional coordinates of all 13 atoms:
Cd 0.0000 0.5000 0.0000
Cd 0.7155 0.7795 0.7700
Cd 0.6548 0.3387 0.3561
Cd 0.9891 0.6613 0.3561
Cd 0.2845 0.2205 0.2300
Cd 0.5145 0.2205 0.7700
Cd 0.3452 0.6613 0.6439
Cd 0.0109 0.3387 0.6439
Cd 0.4855 0.7795 0.2300
Pd 0.5000 0.0000 0.5000
Pd 0.0000 0.0000 0.5000
Pd 0.5000 0.5000 0.0000
Ba 0.0000 0.0000 0.0000



Number 1: total magnetic moment 5.4 μB/f.u.. Number 2: total magnetic moment 0.0 μB/f.u.. Number 3: total magnetic moment 0.0 μB/f.u.. Number 4: total magnetic moment 0.0 μB/f.u..